1.
Sm2AlI: relaxed, PBE.

* DOS at the Fermi energy: 2.169 states/eV/f.u.
* size of the total moment: 0.00 μB/f.u.
* uncorrected formation energy: -0.544 eV per atom
* volume: 123 Å³ per cell

Cell lengths 4.3069, 4.3069, 8.0687 Å; angles 74.52, 74.52, 60.00 degrees
Last column: nearest neighbours and their distance in Å.
Element x y z (fractional)
I: 0.5000 0.5000 0.5000  6 Sm 3.29
Sm: 0.7395 0.7395 0.7816  3 Al 3.00, 3 I 3.29
Sm: 0.2605 0.2605 0.2184  3 Al 3.00, 3 I 3.29
Al: 0.0000 0.0000 0.0000  6 Sm 3.00

=====

2.
SrMg2Tl2Zn2: relaxed, PBE.

* DOS at the Fermi energy: 2.861 states/eV/f.u.
* size of the total moment: 0.00 μB/f.u.
* energy of formation: -150 meV per atom
* volume: 174 Å³ per cell

Cell lengths 4.7253, 4.7253, 9.4013 Å; angles 75.45, 75.45, 60.00 degrees
Last column: nearest neighbours and their distance in Å.
Element x y z (fractional)
Zn: 0.5506 0.5506 0.3482  1 Zn 2.73, 3 Mg 2.80, 3 Tl 2.93
Zn: 0.4494 0.4494 0.6518  1 Zn 2.73, 3 Mg 2.80, 3 Tl 2.93
Mg: 0.8601 0.8601 0.4198  3 Zn 2.80, 3 Mg 3.09
Mg: 0.1399 0.1399 0.5802  3 Zn 2.80, 3 Mg 3.09
Tl: 0.2568 0.2568 0.2297  3 Zn 2.93, 4 Mg 3.15-3.22
Tl: 0.7432 0.7432 0.7703  3 Zn 2.93, 4 Mg 3.15-3.22
Sr: 0.0000 0.0000 0.0000  6 Tl 3.42, 2 Mg 3.78

=====

3.
Rh7W: relaxed, PBE.

* DOS at the Fermi energy: 7.514 states/eV/f.u.
* size of the total moment: 0.00 μB/f.u.
* energy of formation: -107 meV per atom
* volume: 115 Å³ per cell

Cell lengths 5.4528, 5.4528, 5.4528 Å; angles 60.00, 60.00, 60.00 degrees
Last column: nearest neighbours and their distance in Å.
Element x y z (fractional)
Rh: 0.5000 0.5000 0.0000  10 Rh 2.73, 2 W 2.73
Rh: 0.0000 0.5000 0.0000  10 Rh 2.73, 2 W 2.73
Rh: 0.5000 0.0000 0.0000  10 Rh 2.73, 2 W 2.73
Rh: 0.5000 0.0000 0.5000  2 W 2.73, 10 Rh 2.73
Rh: 0.0000 0.5000 0.5000  10 Rh 2.73, 2 W 2.73
Rh: 0.5000 0.5000 0.5000  12 Rh 2.73
Rh: 0.0000 0.0000 0.5000  2 W 2.73, 10 Rh 2.73
W: 0.0000 0.0000 0.0000  12 Rh 2.73

=====

4.
SrTcN3: relaxed, PBE.

* DOS at the Fermi energy: 3.615 states/eV/f.u.
* size of the total moment: 0.00 μB/f.u.
* uncorrected formation energy: -0.209 eV per atom
* volume: 144 Å³ per cell

Cell lengths 3.8398, 5.7204, 6.6037 Å; angles 90.00, 96.26, 90.00 degrees
Last column: nearest neighbours and their distance in Å.
Element x y z (fractional)
Tc: 0.4533 0.7500 0.2977  4 N 1.94-2.01
Tc: 0.5467 0.2500 0.7023  4 N 1.94-2.01
Sr: 0.0335 0.7500 0.7463  9 N 2.64-2.92
Sr: 0.9665 0.2500 0.2537  9 N 2.64-2.92
N: 0.4175 0.9917 0.0764  1 N 1.25
N: 0.5825 0.0083 0.9236  1 N 1.25
N: 0.4175 0.5083 0.0764  1 N 1.25
N: 0.0391 0.2500 0.6560  2 Tc 1.94-1.95
N: 0.5825 0.4917 0.9236  1 N 1.25
N: 0.9609 0.7500 0.3440  2 Tc 1.94-1.95

=====

5.
Tm2Al4AgPt3: relaxed, PBE.

* DOS at the Fermi energy: 4.755 states/eV/f.u.
* size of the total moment: 0.00 μB/f.u.
* energy of formation: -925 meV per atom
* volume: 186 Å³ per cell

Cell lengths 4.1477, 4.1477, 10.8297 Å; angles 90.00, 90.00, 90.00 degrees
Last column: nearest neighbours and their distance in Å.
Element x y z (fractional)
Pt: 0.0000 0.0000 0.5000  4 Al 2.55
Pt: 0.0000 0.5000 0.1370  5 Al 2.45-2.55
Pt: 0.5000 0.0000 0.8630  5 Al 2.45-2.55
Tm: 0.0000 0.5000 0.7600  6 Pt 3.14-3.50, 8 Al 3.22-3.33, 2 Ag 3.50
Tm: 0.5000 0.0000 0.2400  6 Pt 3.14-3.50, 8 Al 3.22-3.33, 2 Ag 3.50
Ag: 0.5000 0.5000 0.5000  4 Al 2.55
Al: 0.5000 0.0000 0.6365  3 Pt 2.45-2.55, 2 Ag 2.55
Al: 0.0000 0.0000 0.0000  4 Pt 2.55
Al: 0.5000 0.5000 0.0000  4 Pt 2.55
Al: 0.0000 0.5000 0.3635  3 Pt 2.45-2.55, 2 Ag 2.55

=====

6.
DyTmH4: relaxed, PBE.

* DOS at the Fermi energy: 1.666 states/eV/f.u.
* size of the total moment: 0.00 μB/f.u.
* E: -53.46 eV per cell
* volume: 135 Å³ per cell

Cell lengths 5.1084, 5.1084, 6.2972 Å; angles 113.93, 113.93, 90.00 degrees
Last column: nearest neighbours and their distance in Å.
Element x y z (fractional)
H: 0.3750 0.3700 0.2500  2 Tm 2.20, 2 Dy 2.23
H: 0.6300 0.6250 0.7500  2 Tm 2.20, 2 Dy 2.23
H: 0.3750 0.8800 0.2500  2 Tm 2.20, 2 Dy 2.23
H: 0.6300 0.1250 0.7500  2 Tm 2.20, 2 Dy 2.23
H: 0.1200 0.6250 0.7500  2 Tm 2.20, 2 Dy 2.23
H: 0.1200 0.1250 0.7500  2 Tm 2.20, 2 Dy 2.23
H: 0.8750 0.8800 0.2500  2 Tm 2.20, 2 Dy 2.23
H: 0.8750 0.3700 0.2500  2 Tm 2.20, 2 Dy 2.23
Tm: 0.0000 0.0000 0.0000  8 H 2.20
Tm: 0.7500 0.2500 0.5000  8 H 2.20
Dy: 0.5000 0.5000 0.0000  8 H 2.23
Dy: 0.2500 0.7500 0.5000  8 H 2.23

=====

7.
Li2ScAu2: relaxed, PBE.

* DOS at the Fermi energy: 2.728 states/eV/f.u.
* size of the total moment: 0.00 μB/f.u.
* energy of formation: -518 meV per atom
* volume: 165 Å³ per cell

Cell lengths 7.3386, 7.3386, 3.0598 Å; angles 90.00, 90.00, 90.00 degrees
Last column: nearest neighbours and their distance in Å.
Element x y z (fractional)
Au: 0.8138 0.3138 0.5000  6 Li 2.58-2.73
Au: 0.1862 0.6862 0.5000  6 Li 2.58-2.73
Au: 0.3138 0.1862 0.5000  6 Li 2.58-2.73
Au: 0.6862 0.8138 0.5000  6 Li 2.58-2.73
Li: 0.3867 0.8867 0.0000  1 Li 2.35, 2 Au 2.58
Li: 0.6133 0.1133 0.0000  1 Li 2.35, 2 Au 2.58
Li: 0.1133 0.3867 0.0000  1 Li 2.35, 2 Au 2.58
Li: 0.8867 0.6133 0.0000  1 Li 2.35, 2 Au 2.58
Sc: 0.5000 0.5000 0.0000  4 Li 2.96, 2 Sc 3.06, 8 Au 3.08
Sc: 0.0000 0.0000 0.0000  4 Li 2.96, 2 Sc 3.06, 8 Au 3.08

=====

8.
KPt2Se: relaxed, PBE.

* DOS at the Fermi energy: 3.244 states/eV/f.u.
* size of the total moment: 0.00 μB/f.u.
* uncorrected formation energy: 0.033 eV per atom
* volume: 88 Å³ per cell

Cell lengths 3.4897, 3.4897, 7.2612 Å; angles 90.00, 90.00, 90.00 degrees
Last column: nearest neighbours and their distance in Å.
Element x y z (fractional)
Pt: 0.5000 0.5000 0.2574  4 Se 2.71, 4 Pt 2.80
Pt: 0.0000 0.0000 0.0751  1 Se 2.45
Se: 0.0000 0.0000 0.4122  5 Pt 2.45-2.71
K: 0.5000 0.5000 0.7553  6 Pt 3.39-3.65, 4 K 3.49, 4 Se 3.51